The following is a PBE calculation of crystalline ZrZn2Tc at its relaxed geometry, from Alexandria via LeMat-Bulk.

Output
Calculated formation energy: 0.11 eV per atom
DOS at the Fermi energy: 2.90 states/eV/f.u.
Total magnetic moment: 0.00 μB/cell

a = 9.5891 Å, b = 9.5891 Å, c = 9.5891 Å
α = 17.08°, β = 17.08°, γ = 17.08°
With the nearest neighbours (Å) after each atom.
Atoms (fractional coordinates):
Zr 0.0000 0.0000 0.0000  6 Zr 2.85, 6 Zn 3.04
Zn 0.2432 0.2432 0.2432  3 Tc 2.72, 6 Zn 2.85, 3 Zr 3.04
Zn 0.7568 0.7568 0.7568  3 Tc 2.72, 6 Zn 2.85, 3 Zr 3.04
Tc 0.5000 0.5000 0.5000  6 Zn 2.72, 6 Tc 2.85

=====

The following is a PBE calculation of crystalline AlAs2BrF at its relaxed geometry, from Alexandria via LeMat-Bulk.

Output
Uncorrected formation energy: 0.15 eV/atom
DOS at the Fermi energy: 4.39 states/eV/f.u.
Total magnetic moment: 0.65 μB/cell

a = 4.8659 Å, b = 4.8659 Å, c = 4.9582 Å
α = 90.00°, β = 90.00°, γ = 90.00°
With the nearest neighbours (Å) after each atom.
Atoms (fractional coordinates):
Al 0.0000 0.0000 0.0000  4 As 2.43, 2 Br 2.48
As 0.0000 0.5000 0.0000  2 Al 2.43
As 0.5000 0.0000 0.0000  2 Al 2.43
Br 0.0000 0.0000 0.5000  2 Al 2.48
F 0.5000 0.5000 0.5000  4 Br 3.44, 8 As 3.47

=====

> What is the formula in the first record?

ZrZn2Tc

=====

> Look up the total magnetic moment of the first one.

0.00 μB/cell